Entry 1:
# PBE CdBrF, relaxed
data_CdBrF
_chemical_formula_sum 'Cd3 Br3 F3'
_symmetry_space_group_name_H-M 'R 3 m'
_symmetry_Int_Tables_number 160
_symmetry_space_group_name_Hall 'R 3 -2"'
_cell_length_a 3.8971
_cell_length_b 3.8971
_cell_length_c 14.6434
_cell_angle_alpha 90.00
_cell_angle_beta 90.00
_cell_angle_gamma 120.00
loop_
_atom_site_label
_atom_site_type_symbol
_atom_site_fract_x
_atom_site_fract_y
_atom_site_fract_z
_atom_site_occupancy
Cd1 Cd 0.0000 0.0000 0.0000 1
Br1 Br 0.0000 0.0000 0.2177 1
F1 F 0.0000 0.0000 0.7137 1
# total moment: 0.00 μB per cell
# density: 5.5 g/cm3
# formation energy from raw total energies: -1.43 eV per atom
# DOS at the Fermi energy: 0.00 states/eV/atom

Entry 2:
# PBE TaNbPt, relaxed
data_TaNbPt
_chemical_formula_sum 'Ta4 Nb4 Pt4'
_symmetry_space_group_name_H-M 'F m m 2'
_symmetry_Int_Tables_number 42
_symmetry_space_group_name_Hall 'F 2 -2'
_cell_length_a 3.797
_cell_length_b 4.213
_cell_length_c 12.889
_cell_angle_alpha 90.00
_cell_angle_beta 90.00
_cell_angle_gamma 90.00
loop_
_atom_site_label
_atom_site_type_symbol
_atom_site_fract_x
_atom_site_fract_y
_atom_site_fract_z
_atom_site_occupancy
Ta1 Ta 0.000 0.000 0.000 1
Nb1 Nb 0.000 0.000 0.677 1
Pt1 Pt 0.000 0.000 0.341 1
# energy of formation: -0.4333 eV per atom
# total moment: 0.00 μB per cell
# density: 15.1 g/cm3
# DOS at the Fermi energy: 0.82 states/eV/atom

Q: What is the formula in the first record?
A: CdBrF

Q: What is the total moment in the first record?
A: 0.00 μB per cell

Q: Which value of DOS at the Fermi energy does entry 1 give?
A: 0.00 states/eV/atom

Q: The lowest density belongs to which entry?
A: CdBrF